Density functional theory data (PBE-GGA) for a geometry-optimized BeAsBr2 structure.

Computed properties:
Size of the total moment: 0.0 μB/f.u.
Calculated density: 3.9 g/cm3
DOS at the Fermi energy: 1.2 states/eV/f.u.
Relative energy among the computed polymorphs: 37 meV per atom
Formation energy without anion corrections: -4.590 kcal/mol of atoms

Unit cell a=3.4914 b=3.4914 c=8.5594 alpha=90.00 beta=90.00 gamma=90.00
Fractional coordinates of all 4 atoms:
Be: 0.0000 0.0000 0.0000
As: 0.5000 0.5000 0.0778
Br: 0.0000 0.0000 0.7639
Br: 0.5000 0.5000 0.3510